Pm2Nd4Y7 | PBE | optimized geometry

Structure (POSCAR):
```
Pm2Nd4Y7
1.0
11.1574 -2.2689 0.8811
-6.7214 6.6520 -1.4256
1.3319 -1.9069 7.7541
Y Nd Pm
7 4 2
direct
0.0000 0.0000 0.0000
0.8470 0.2316 0.0768
0.4621 0.3073 0.7700
0.5379 0.6927 0.2300
0.6150 0.0782 0.6939
0.1530 0.7684 0.9232
0.3850 0.9218 0.3060
0.9234 0.6142 0.5378
0.2304 0.1533 0.3836
0.0766 0.3858 0.4622
0.7696 0.8467 0.6164
0.6918 0.4613 0.1531
0.3082 0.5387 0.8469
```

- Energy relative to the elements: 0.014 eV/atom
- Space-group type: P-1
- Total moment: 0.000 μB per atom
- VASP energy: -5.66 eV/atom

LuPuCu | PBE | optimized geometry

Structure (POSCAR):
```
LuPuCu
1.0
3.3851 0.0000 0.0000
0.0000 3.3851 0.0000
-1.6926 -1.6926 6.0612
Cu Lu Pu
1 1 1
direct
0.6760 0.6760 0.3521
0.3046 0.3046 0.6092
0.0194 0.0194 0.0387
```

- Energy relative to the elements: -0.001 eV/atom
- Space-group type: I4mm
- Total moment: 2.060 μB per atom
- VASP energy: -7.65 eV/atom

Cs2AsBr4 | PBE | optimized geometry

Structure (POSCAR):
```
Cs2AsBr4
1.0
-3.8454 -6.0779 -2.2983
-1.4368 -3.3064 6.6342
-2.3233 7.6770 -1.7555
Br Cs As
4 2 1
direct
0.2299 0.2298 0.4597
0.7700 0.7702 0.0000
0.2298 0.2300 0.0000
0.7702 0.7701 0.5403
0.2501 0.7499 0.5000
0.7501 0.2499 0.5000
0.9998 0.0002 0.0000
```

- Space-group type: I4/mmm
- Total moment: 0.143 μB per atom
- VASP energy: -2.99 eV/atom
- Energy above the most stable polymorph in this dataset: 0 meV per atom
- Uncorrected formation energy: -1.13 eV per atom

Tb2PuAs3 | PBE | optimized geometry

Structure (POSCAR):
```
Tb2PuAs3
1.0
0.0696 3.2243 -2.5920
0.6369 -2.5696 -3.1798
-9.0098 -1.0591 1.7441
As Pu Tb
3 1 2
direct
0.6002 0.6016 0.2059
0.2683 0.2696 0.5420
0.9341 0.9359 0.8740
0.4341 0.4359 0.8740
0.7665 0.7678 0.5383
0.1021 0.1034 0.2096
```

- Energy relative to the elements: -1.358 eV/atom
- Space-group type: I4/mmm
- Total moment: 0.824 μB per atom
- VASP energy: -7.61 eV/atom

Ac6Pr5Tm | PBE | optimized geometry

Structure (POSCAR):
```
Ac6Pr5Tm
1.0
5.2757 0.0228 -1.5382
-1.4519 9.2926 -4.8386
0.0941 -0.7385 10.1132
Pr Ac Tm
5 6 1
direct
0.6661 0.1662 0.3323
0.0000 0.5000 0.0000
0.3339 0.8338 0.6677
0.6663 0.6662 0.3325
0.3337 0.3338 0.6675
0.1655 0.4133 0.3309
0.8345 0.5867 0.6691
0.1655 0.9176 0.3309
0.8345 0.0824 0.6691
0.5000 0.7531 0.0000
0.5000 0.2469 0.0000
0.0000 0.0000 0.0000
```

- Energy relative to the elements: 0.028 eV/atom
- Space-group type: Immm
- Total moment: 0.000 μB per atom
- VASP energy: -4.39 eV/atom

GdLuSn2 | PBE | optimized geometry

Structure (POSCAR):
```
GdLuSn2
1.0
-1.9879 -2.5761 -2.9801
0.4321 -3.8098 3.0051
-4.3276 1.0621 1.9687
Sn Gd Lu
2 1 1
direct
0.0000 0.0000 0.5000
0.0000 0.5000 0.0000
0.5000 0.0000 0.0000
0.5000 0.5000 0.5000
```

- Energy relative to the elements: -0.603 eV/atom
- Space-group type: P4/mmm
- Total moment: 1.902 μB per atom
- VASP energy: -7.26 eV/atom
- Energy above the most stable polymorph in this dataset: 0 meV per atom

ZnSn2O5 | PBE | optimized geometry

Structure (POSCAR):
```
ZnSn2O5
1.0
3.3066 -0.3596 0.0749
-1.0056 5.5823 -0.1867
-0.4267 -1.1355 12.8623
O Sn Zn
10 4 2
direct
0.9295 0.8707 0.1743
0.0716 0.1299 0.8256
0.6149 0.2185 0.6360
0.1738 0.3421 0.4385
0.8151 0.6341 0.9500
0.3232 0.6440 0.7496
0.6778 0.3565 0.2503
0.1861 0.3664 0.0499
0.3861 0.7821 0.3640
0.8272 0.6585 0.5614
0.2411 0.4814 0.8820
0.2175 0.4313 0.6017
0.7835 0.5693 0.3983
0.7601 0.5192 0.1179
0.5105 0.0022 0.7466
0.4905 0.9984 0.2533
```

- Space-group type: P-1
- Total moment: 0.000 μB per atom
- VASP energy: -5.70 eV/atom
- Energy above the most stable polymorph in this dataset: 86 meV per atom
- Uncorrected formation energy: -1.44 eV per atom

Re2TcBr | PBE | optimized geometry

Structure (POSCAR):
```
Re2TcBr
1.0
-0.2094 -3.1439 -3.2771
0.2830 -2.7093 2.5812
-3.7380 -0.0851 0.3205
Re Tc Br
2 1 1
direct
0.0000 0.0000 0.0000
0.0000 0.5000 0.5000
0.5000 0.5000 0.0000
0.5000 0.0000 0.5000
```

- Space-group type: P4/mmm
- Total moment: 0.000 μB per atom
- VASP energy: -7.75 eV/atom
- Energy above the most stable polymorph in this dataset: 919 meV per atom
- Uncorrected formation energy: 1.48 eV per atom

LiTl2As2O6 | PBE | optimized geometry

Structure (POSCAR):
```
LiTl2As2O6
1.0
-0.6140 4.0676 3.9582
-3.9728 -5.1394 0.5485
5.9623 -1.1059 2.0614
As Tl O Li
2 2 6 1
direct
0.9878 0.9757 0.7919
0.0122 0.0243 0.2081
0.7145 0.4290 0.1966
0.2855 0.5710 0.8034
0.6906 0.8735 0.2376
0.8170 0.1265 0.7624
0.1830 0.8735 0.2376
0.8243 0.6487 0.6402
0.3094 0.1265 0.7624
0.1757 0.3513 0.3598
0.5000 0.0000 0.5000
```

- Space-group type: C2/m
- Total moment: 0.000 μB per atom
- VASP energy: -5.24 eV/atom
- Uncorrected formation energy: -1.09 eV per atom

VMoSe4 | PBE | optimized geometry

Structure (POSCAR):
```
VMoSe4
1.0
-3.2646 0.5691 -0.1950
-0.1607 -3.1209 -6.4177
-1.0339 -5.0622 2.5348
Se V Mo
4 1 1
direct
0.5000 0.2325 0.8271
0.0000 0.7719 0.6574
0.5000 0.7675 0.1729
0.0000 0.2281 0.3426
0.5000 0.0000 0.5000
0.0000 0.0000 0.0000
```

- Space-group type: P2/m
- Total moment: 0.000 μB per atom
- VASP energy: -6.22 eV/atom
- Uncorrected formation energy: -0.58 eV per atom

CuH6IrPb | PBE | optimized geometry

Structure (POSCAR):
```
CuH6IrPb
1.0
4.7783 0.0031 0.0029
2.3919 4.1339 -0.0008
0.0031 -0.0027 4.8135
H Cu Pb Ir
6 1 1 1
direct
0.6061 0.0217 0.3001
0.3717 0.6066 0.3006
0.0215 0.6065 0.6998
0.3717 0.0225 0.6995
0.0225 0.3716 0.3006
0.6065 0.3714 0.6992
0.6666 0.6664 0.5001
0.9999 0.9997 0.0002
0.3334 0.3336 0.4999
```

- Space-group type: C2
- Total moment: 0.000 μB per atom
- VASP energy: -4.03 eV/atom

CuBF2 | PBE | optimized geometry

Structure (POSCAR):
```
CuBF2
1.0
0.0000 2.7600 2.7600
2.7600 0.0000 2.7600
2.7600 2.7600 0.0000
B Cu F
1 1 2
direct
0.0000 0.0000 0.0000
0.5000 0.5000 0.5000
0.7500 0.7500 0.7500
0.2500 0.2500 0.2500
```

- Space-group type: Fm-3m
- Total moment: 0.000 μB per atom
- VASP energy: -3.56 eV/atom
- Energy above the most stable polymorph in this dataset: 829 meV per atom
- Uncorrected formation energy: 0.06 eV per atom